## Rb2AlTe4Pb (PBE)

Data for a geometry-optimized Rb2AlTe4Pb structure.

Cell lengths 7.400, 7.400, 7.400 Å; angles 105.00, 105.00, 118.84 degrees
Atoms (fractional coordinates):
Rb1 0.000 0.500 0.500
Rb2 0.500 0.000 0.500
Al1 0.000 0.000 0.000
Te1 0.045 0.382 0.000
Te2 0.382 0.045 0.000
Te3 0.618 0.618 0.662
Te4 0.955 0.955 0.338
Pb1 0.500 0.500 0.000

## Properties
- magnetization (μB per formula unit) = 0.0
- uncorrected formation energy (eV/atom) = -0.6507
- D(E_F) (states/eV per atom) = 0.467
- E_tot (eV per atom) = -3.39
- V (Å³ per cell) = 306
- SG = I-42m, No. 121